Here is K2ErWO6 after structural relaxation from Alexandria via LeMat-Bulk. Energies are from PBE+U.

Output
For the uncorrected energy, the calculation gives -6.585 eV per atom. The total magnetization is 6.412 μB per cell.

a b c (Å): 6.1490 6.1490 30.2356
angles (deg): 90.00 90.00 120.00
Space group R-3m (No. 166, hexagonal axes)
Inequivalent atoms, fractional coordinates:
K 0.0000 0.0000 0.1350
K 0.0000 0.0000 0.2696
Er 0.0000 0.0000 0.4011
W 0.0000 0.0000 0.0000
W 0.0000 0.0000 0.5000
O 0.0333 0.5167 0.7037
O 0.0455 0.5228 0.1267